A geometry-optimized Sc2AlTe structure. Source: Alexandria, functional PBE.

The relative energy among the computed polymorphs is 0.5705 eV/atom. For the uncorrected formation energy, the calculation gives -0.059 eV per atom. As for the total energy: -4.945 eV/atom. The value obtained for the calculated volume is 88.5 Å³/cell.

Unit cell a=5.002 b=5.002 c=5.002 alpha=60.00 beta=60.00 gamma=60.00
Fractional positions:
Sc  0.000  0.000  0.000
Sc  0.250  0.250  0.250
Al  0.500  0.500  0.500
Te  0.750  0.750  0.750